TlCl4 at its PBEsol-relaxed geometry, computed with meta-GGA SCAN.

Results
**Density**: 4.4 g/cm³
**Energy relative to the elements, uncorrected**: -0.08 eV per atom

a b c (Å): 5.5161 5.5161 5.5161
angles (deg): 109.47 109.47 109.47
Closest atoms and distances in Å follow each position.
Atoms (fractional coordinates):
Tl: 0.0000 0.0000 0.0000  8 Cl 2.76
Cl: 0.0000 0.0000 0.5000  2 Tl 2.76
Cl: 0.0000 0.5000 0.0000  2 Tl 2.76
Cl: 0.5000 0.0000 0.0000  2 Tl 2.76
Cl: 0.5000 0.5000 0.5000  2 Tl 2.76



Tl2Cl at its PBEsol-relaxed geometry, computed with meta-GGA SCAN.

Results
**Density**: 8.8 g/cm³
**ΔE to the lowest computed polymorph**: 0.0 kJ/mol of atoms
**Energy relative to the elements, uncorrected**: -0.51 eV per atom

a b c (Å): 5.5049 5.5049 6.3693
angles (deg): 90.00 90.00 120.00
Closest atoms and distances in Å follow each position.
Atoms (fractional coordinates):
Tl: 0.0000 0.0000 0.0000  8 Tl 3.18-3.55, 6 Cl 3.55
Tl: 0.0000 0.0000 0.5000  8 Tl 3.18-3.55, 6 Cl 3.55
Tl: 0.3333 0.6667 0.2500  5 Cl 3.18, 6 Tl 3.55
Tl: 0.6667 0.3333 0.7500  5 Cl 3.18, 6 Tl 3.55
Cl: 0.3333 0.6667 0.7500  11 Tl 3.18-3.55
Cl: 0.6667 0.3333 0.2500  11 Tl 3.18-3.55



Tl2Cl at its PBEsol-relaxed geometry, computed with meta-GGA SCAN.

Results
**Density**: 8.7 g/cm³
**ΔE to the lowest computed polymorph**: 1.6 kJ/mol of atoms
**Energy relative to the elements, uncorrected**: -0.49 eV per atom

a b c (Å): 5.7320 8.5243 3.4632
angles (deg): 90.00 90.00 90.00
Closest atoms and distances in Å follow each position.
Atoms (fractional coordinates):
Tl: 0.0043 0.2002 0.0000  4 Cl 3.09-3.36, 5 Tl 3.41-3.45
Tl: 0.4957 0.7002 0.5000  4 Cl 3.09-3.36, 5 Tl 3.41-3.45
Tl: 0.5043 0.2998 0.5000  4 Cl 3.09-3.36, 5 Tl 3.41-3.45
Tl: 0.9957 0.7998 0.0000  4 Cl 3.09-3.36, 5 Tl 3.41-3.45
Cl: 0.0000 0.5000 0.5000  8 Tl 3.09-3.36
Cl: 0.5000 0.0000 0.0000  8 Tl 3.09-3.36



TlVCl3 at its PBEsol-relaxed geometry, computed with meta-GGA SCAN.

Results
**Density**: 5.2 g/cm³
**Energy relative to the elements, uncorrected**: -1.40 eV per atom

a b c (Å): 6.8185 6.8185 5.6968
angles (deg): 90.00 90.00 120.00
Closest atoms and distances in Å follow each position.
Atoms (fractional coordinates):
Tl: 0.3333 0.6667 0.2500  12 Cl 3.41-3.48
Tl: 0.6667 0.3333 0.7500  12 Cl 3.41-3.48
V: 0.0000 0.0000 0.0000  6 Cl 2.41
V: 0.0000 0.0000 0.5000  6 Cl 2.41
Cl: 0.1642 0.3284 0.7500  2 V 2.41
Cl: 0.1642 0.8358 0.7500  2 V 2.41
Cl: 0.3284 0.1642 0.2500  2 V 2.41
Cl: 0.6716 0.8358 0.7500  2 V 2.41
Cl: 0.8358 0.1642 0.2500  2 V 2.41
Cl: 0.8358 0.6716 0.2500  2 V 2.41



Tl2WCl6 at its PBEsol-relaxed geometry, computed with meta-GGA SCAN.

Results
**Density**: 5.9 g/cm³
**Energy relative to the elements, uncorrected**: -1.03 eV per atom

a b c (Å): 6.8450 6.8450 6.8450
angles (deg): 60.00 60.00 60.00
Closest atoms and distances in Å follow each position.
Atoms (fractional coordinates):
Tl: 0.2500 0.2500 0.2500  12 Cl 3.42
Tl: 0.7500 0.7500 0.7500  12 Cl 3.42
W: 0.0000 0.0000 0.0000  6 Cl 2.36
Cl: 0.2436 0.2436 0.7564  1 W 2.36
Cl: 0.2436 0.7564 0.2436  1 W 2.36
Cl: 0.2436 0.7564 0.7564  1 W 2.36
Cl: 0.7564 0.2436 0.2436  1 W 2.36
Cl: 0.7564 0.2436 0.7564  1 W 2.36
Cl: 0.7564 0.7564 0.2436  1 W 2.36



Tl3ZnCl at its PBEsol-relaxed geometry, computed with meta-GGA SCAN.

Results
**Density**: 6.5 g/cm³
**Energy relative to the elements, uncorrected**: 0.15 eV per atom

a b c (Å): 5.6787 5.6787 5.6787
angles (deg): 90.00 90.00 90.00
Closest atoms and distances in Å follow each position.
Atoms (fractional coordinates):
Tl: 0.0000 0.0000 0.5000  2 Cl 2.84
Tl: 0.0000 0.5000 0.0000  2 Cl 2.84
Tl: 0.5000 0.0000 0.0000  2 Cl 2.84
Zn: 0.5000 0.5000 0.5000  12 Tl 4.02
Cl: 0.0000 0.0000 0.0000  6 Tl 2.84



TlZnCl3 at its PBEsol-relaxed geometry, computed with meta-GGA SCAN.

Results
**Density**: 4.3 g/cm³
**Energy relative to the elements, uncorrected**: -1.22 eV per atom

a b c (Å): 6.1851 6.2543 8.1722
angles (deg): 68.53 88.15 84.30
Closest atoms and distances in Å follow each position.
Atoms (fractional coordinates):
Tl: 0.0000 0.0000 0.0000  6 Cl 3.10-3.34
Tl: 0.4975 0.2451 0.4926  6 Cl 3.11-3.35
Zn: 0.4575 0.4918 0.8929  4 Cl 2.21-2.32
Zn: 0.9561 0.6318 0.5995  4 Cl 2.21-2.32
Cl: 0.2912 0.5362 0.1232  1 Zn 2.21
Cl: 0.3022 0.7272 0.6261  2 Zn 2.31-2.32
Cl: 0.4867 0.1280 0.9051  1 Zn 2.23
Cl: 0.7864 0.8971 0.3698  1 Zn 2.21
Cl: 0.8038 0.6120 0.8665  2 Zn 2.31-2.32
Cl: 0.9847 0.2799 0.5871  1 Zn 2.23



TlZnCl2 at its PBEsol-relaxed geometry, computed with meta-GGA SCAN.

Results
**Density**: 5.4 g/cm³
**Energy relative to the elements, uncorrected**: -0.53 eV per atom

a b c (Å): 9.5274 9.5274 9.5274
angles (deg): 21.85 21.85 21.85
Closest atoms and distances in Å follow each position.
Atoms (fractional coordinates):
Tl: 0.0000 0.0000 0.0000  6 Cl 3.24, 6 Tl 3.61
Zn: 0.5000 0.5000 0.5000  2 Cl 2.16
Cl: 0.4225 0.4225 0.4225  1 Zn 2.16
Cl: 0.5775 0.5775 0.5775  1 Zn 2.16



| no. | size of the total moment (μB per cell) |
| --- | --- |
| 1 | 0.0 |
| 2 | 0.0 |
| 3 | 0.0 |
| 4 | 6.0 |
| 5 | 2.0 |
| 6 | 0.0 |
| 7 | 0.0 |
| 8 | 0.0 |